[1]
First-principles (PBE) data for Dy5Ho4Ag after structural relaxation, as listed in Alexandria via LeMat-Bulk.

Summary:
E_form, eV per atom: -0.041
Final energy, eV/atom: -4.46
Density of states at the Fermi level, states/eV per atom: 1.22

Cell and atoms, written as extended XYZ:
```
10
Lattice="3.534 0.000 0.000 0.000 3.534 0.000 0.000 0.000 23.918" Properties=species:S:1:pos:R:3 pbc="T T T"
Dy 1.767 1.767 1.927
Dy 1.767 1.767 6.953
Dy 1.767 1.767 11.959
Dy 1.767 1.767 16.966
Dy 1.767 1.767 21.992
Ho 0.000 0.000 4.470
Ho 0.000 0.000 9.460
Ho 0.000 0.000 14.459
Ho 0.000 0.000 19.448
Ag 0.000 0.000 0.000
```

---

[2]
First-principles (PBE) data for Dy3Ho4Ag4 after structural relaxation, as listed in Alexandria via LeMat-Bulk.

Summary:
E_form, eV per atom: -0.105
Final energy, eV/atom: -4.06
Density of states at the Fermi level, states/eV per atom: 0.92

Cell and atoms, written as extended XYZ:
```
11
Lattice="-4.726 -1.531 -0.724 2.427 -6.959 -1.128 0.452 2.752 8.633" Properties=species:S:1:pos:R:3 pbc="T T T"
Dy -0.146 -0.312 1.613
Dy -1.701 -5.425 5.168
Dy 1.214 -3.479 -0.564
Ho -0.993 0.581 5.252
Ho -1.935 -3.220 2.031
Ho -0.854 -6.318 1.529
Ho 0.088 -2.518 4.750
Ag 0.941 -4.061 2.442
Ag -2.789 -1.676 4.340
Ag -0.393 -6.414 -1.278
Ag -1.906 -2.075 -0.574
```

---

[3]
First-principles (PBE) data for Dy3HoAg3 after structural relaxation, as listed in Alexandria via LeMat-Bulk.

Summary:
E_form, eV per atom: -0.146
Final energy, eV/atom: -3.99
Density of states at the Fermi level, states/eV per atom: 0.89

Cell and atoms, written as extended XYZ:
```
14
Lattice="7.129 1.380 0.380 -1.940 6.997 0.380 -0.354 -0.572 6.973" Properties=species:S:1:pos:R:3 pbc="T T T"
Dy 3.128 5.050 2.892
Dy -0.466 5.689 3.867
Dy 5.301 2.117 3.867
Dy 0.439 5.524 0.380
Dy 4.750 2.854 0.380
Dy 1.707 2.756 4.843
Ho 3.555 5.740 6.517
Ho 1.280 2.066 1.217
Ag 4.749 7.668 1.998
Ag 5.930 4.343 5.650
Ag 1.246 7.244 5.650
Ag -1.095 3.463 2.084
Ag 3.588 0.562 2.084
Ag 0.085 0.138 5.737
```